[1]
A plane-wave DFT calculation with PBEsol was carried out for an optimized crystal structure of CsNbSN2.

The structure in CIF format:
```
data_CsNbSN2
_cell_length_a 4.0971
_cell_length_b 4.0971
_cell_length_c 5.8499
_cell_angle_alpha 90.00
_cell_angle_beta 90.00
_cell_angle_gamma 90.00
_space_group_name_H-M_alt 'P 4/m m m'
_space_group_IT_number 123
_space_group_name_Hall '-P 4 2'
loop_
_atom_site_label
_atom_site_type_symbol
_atom_site_fract_x
_atom_site_fract_y
_atom_site_fract_z
Cs1 Cs 0.0000 0.0000 0.0000
Nb1 Nb 0.5000 0.5000 0.5000
S1 S 0.0000 0.0000 0.5000
N1 N 0.0000 0.5000 0.0000
```

- Formation energy from raw total energies: 2.44 eV per atom

***

[2]
A plane-wave DFT calculation with PBEsol was carried out for an optimized crystal structure of MnFe2Hg.

The structure in CIF format:
```
data_MnFe2Hg
_cell_length_a 2.7262
_cell_length_b 2.7262
_cell_length_c 24.7987
_cell_angle_alpha 90.00
_cell_angle_beta 90.00
_cell_angle_gamma 120.00
_space_group_name_H-M_alt 'R -3 m'
_space_group_IT_number 166
_space_group_name_Hall '-R 3 2"'
loop_
_atom_site_label
_atom_site_type_symbol
_atom_site_fract_x
_atom_site_fract_y
_atom_site_fract_z
Mn1 Mn 0.0000 0.0000 0.0000
Fe1 Fe 0.0000 0.0000 0.2614
Hg1 Hg 0.0000 0.0000 0.5000
```

- Calculated formation energy: 0.504 eV/atom

***

[3]
A plane-wave DFT calculation with PBEsol was carried out for an optimized crystal structure of SrLiCl2.

The structure in CIF format:
```
data_SrLiCl2
_cell_length_a 4.1536
_cell_length_b 4.1257
_cell_length_c 7.5312
_cell_angle_alpha 90.00
_cell_angle_beta 105.63
_cell_angle_gamma 90.00
_space_group_name_H-M_alt 'P 1 m 1'
_space_group_IT_number 6
loop_
_space_group_symop_operation_xyz
'x,y,z'
'x,-y,z'
loop_
_atom_site_label
_atom_site_type_symbol
_atom_site_fract_x
_atom_site_fract_y
_atom_site_fract_z
Sr1 Sr 0.0000 0.0000 0.0000
Li1 Li 0.7258 0.5000 0.4651
Cl1 Cl 0.1368 0.5000 0.2818
Cl2 Cl 0.8014 0.0000 0.6168
```

- Energy relative to the lowest polymorph listed for this composition: 0 meV per atom
- Formation energy from raw total energies: -1.63 eV per atom

***

[4]
A plane-wave DFT calculation with PBEsol was carried out for an optimized crystal structure of OsPtW.

The structure in CIF format:
```
data_OsPtW
_cell_length_a 5.9342
_cell_length_b 5.9342
_cell_length_c 5.9342
_cell_angle_alpha 90.00
_cell_angle_beta 90.00
_cell_angle_gamma 90.00
_space_group_name_H-M_alt 'F -4 3 m'
_space_group_IT_number 216
_space_group_name_Hall 'F -4 2 3'
loop_
_atom_site_label
_atom_site_type_symbol
_atom_site_fract_x
_atom_site_fract_y
_atom_site_fract_z
Os1 Os 0.0000 0.0000 0.0000
Pt1 Pt 0.0000 0.0000 0.5000
W1 W 0.2500 0.2500 0.2500
```

- Energy relative to the lowest polymorph listed for this composition: 357 meV per atom
- Calculated formation energy: 0.381 eV/atom

***

[5]
A plane-wave DFT calculation with PBEsol was carried out for an optimized crystal structure of MnReAs.

The structure in CIF format:
```
data_MnReAs
_cell_length_a 4.0372
_cell_length_b 4.0372
_cell_length_c 2.7575
_cell_angle_alpha 90.00
_cell_angle_beta 90.00
_cell_angle_gamma 120.00
_space_group_name_H-M_alt 'P -6 m 2'
_space_group_IT_number 187
_space_group_name_Hall 'P -6 2'
loop_
_atom_site_label
_atom_site_type_symbol
_atom_site_fract_x
_atom_site_fract_y
_atom_site_fract_z
Mn1 Mn 0.0000 0.0000 0.0000
Re1 Re 0.3333 0.6667 0.5000
As1 As 0.6667 0.3333 0.0000
```

- Energy relative to the lowest polymorph listed for this composition: 132 meV per atom
- Calculated formation energy: 0.189 eV/atom

***

[6]
A plane-wave DFT calculation with PBEsol was carried out for an optimized crystal structure of Ba2CaHg.

The structure in CIF format:
```
data_Ba2CaHg
_cell_length_a 4.0182
_cell_length_b 4.0182
_cell_length_c 10.1501
_cell_angle_alpha 90.00
_cell_angle_beta 90.00
_cell_angle_gamma 90.00
_space_group_name_H-M_alt 'P 4 m m'
_space_group_IT_number 99
loop_
_space_group_symop_operation_xyz
'x,y,z'
'-y,x,z'
'-x,-y,z'
'y,-x,z'
'-x,y,z'
'y,x,z'
'x,-y,z'
'-y,-x,z'
loop_
_atom_site_label
_atom_site_type_symbol
_atom_site_fract_x
_atom_site_fract_y
_atom_site_fract_z
Ba1 Ba 0.0000 0.0000 0.0000
Ba2 Ba 0.5000 0.5000 0.3476
Ca1 Ca 0.0000 0.0000 0.6435
Hg1 Hg 0.5000 0.5000 0.7903
```

- Energy relative to the lowest polymorph listed for this composition: 3 meV per atom
- Calculated formation energy: -0.279 eV/atom

***

[7]
A plane-wave DFT calculation with PBEsol was carried out for an optimized crystal structure of SrLiZr3.

The structure in CIF format:
```
data_SrLiZr3
_cell_length_a 4.9892
_cell_length_b 4.9892
_cell_length_c 4.9892
_cell_angle_alpha 90.00
_cell_angle_beta 90.00
_cell_angle_gamma 90.00
_space_group_name_H-M_alt 'P m -3 m'
_space_group_IT_number 221
_space_group_name_Hall '-P 4 2 3'
loop_
_atom_site_label
_atom_site_type_symbol
_atom_site_fract_x
_atom_site_fract_y
_atom_site_fract_z
Sr1 Sr 0.0000 0.0000 0.0000
Li1 Li 0.5000 0.5000 0.5000
Zr1 Zr 0.0000 0.5000 0.5000
```

- Calculated formation energy: 0.861 eV/atom

***

[8]
A plane-wave DFT calculation with PBEsol was carried out for an optimized crystal structure of ZnSiRh2.

The structure in CIF format:
```
data_ZnSiRh2
_cell_length_a 2.7604
_cell_length_b 2.7604
_cell_length_c 24.5491
_cell_angle_alpha 90.00
_cell_angle_beta 90.00
_cell_angle_gamma 120.00
_space_group_name_H-M_alt 'R 3 m'
_space_group_IT_number 160
_space_group_name_Hall 'R 3 -2"'
loop_
_atom_site_label
_atom_site_type_symbol
_atom_site_fract_x
_atom_site_fract_y
_atom_site_fract_z
Zn1 Zn 0.0000 0.0000 0.0000
Si1 Si 0.0000 0.0000 0.2461
Rh1 Rh 0.0000 0.0000 0.5069
Rh2 Rh 0.0000 0.0000 0.7486
```

- Energy relative to the lowest polymorph listed for this composition: 524 meV per atom
- Formation energy from raw total energies: -0.20 eV per atom

***

[9]
A plane-wave DFT calculation with PBEsol was carried out for an optimized crystal structure of Cs2MnV2Cl2O6.

The structure in CIF format:
```
data_Cs2MnV2Cl2O6
_cell_length_a 5.5509
_cell_length_b 17.4392
_cell_length_c 5.5730
_cell_angle_alpha 90.00
_cell_angle_beta 90.00
_cell_angle_gamma 90.00
_space_group_name_H-M_alt 'C m m 2'
_space_group_IT_number 35
loop_
_space_group_symop_operation_xyz
'x,y,z'
'-x,-y,z'
'-x,y,z'
'x,-y,z'
'x+1/2,y+1/2,z'
'-x+1/2,-y+1/2,z'
'-x+1/2,y+1/2,z'
'x+1/2,-y+1/2,z'
loop_
_atom_site_label
_atom_site_type_symbol
_atom_site_fract_x
_atom_site_fract_y
_atom_site_fract_z
Cs1 Cs 0.0000 0.1275 0.0000
Mn1 Mn 0.0000 0.5000 0.5094
V1 V 0.0000 0.3022 0.5133
Cl1 Cl 0.0000 0.0000 0.5198
Cl2 Cl 0.0000 0.5000 0.0909
O1 O 0.0000 0.3002 0.2215
O2 O 0.0000 0.3933 0.6142
O3 O 0.2500 0.2500 0.6301
```

- Formation energy from raw total energies: -2.08 eV per atom

***

[10]
A plane-wave DFT calculation with PBEsol was carried out for an optimized crystal structure of Li2CoAs.

The structure in CIF format:
```
data_Li2CoAs
_cell_length_a 3.5361
_cell_length_b 3.8285
_cell_length_c 8.0530
_cell_angle_alpha 90.00
_cell_angle_beta 90.00
_cell_angle_gamma 90.00
_space_group_name_H-M_alt 'C m m m'
_space_group_IT_number 65
_space_group_name_Hall '-C 2 2'
loop_
_atom_site_label
_atom_site_type_symbol
_atom_site_fract_x
_atom_site_fract_y
_atom_site_fract_z
Li1 Li 0.0000 0.0000 0.2461
Co1 Co 0.0000 0.5000 0.0000
As1 As 0.0000 0.5000 0.5000
```

- Calculated formation energy: 0.022 eV/atom

***

[11]
A plane-wave DFT calculation with PBEsol was carried out for an optimized crystal structure of MnZnCu2.

The structure in CIF format:
```
data_MnZnCu2
_cell_length_a 2.5534
_cell_length_b 2.5534
_cell_length_c 25.1454
_cell_angle_alpha 90.00
_cell_angle_beta 90.00
_cell_angle_gamma 120.00
_space_group_name_H-M_alt 'R 3 m'
_space_group_IT_number 160
_space_group_name_Hall 'R 3 -2"'
loop_
_atom_site_label
_atom_site_type_symbol
_atom_site_fract_x
_atom_site_fract_y
_atom_site_fract_z
Mn1 Mn 0.0000 0.0000 0.0000
Zn1 Zn 0.0000 0.0000 0.2481
Cu1 Cu 0.0000 0.0000 0.4973
Cu2 Cu 0.0000 0.0000 0.7491
```

- Calculated formation energy: 0.128 eV/atom

***

[12]
A plane-wave DFT calculation with PBEsol was carried out for an optimized crystal structure of KBa2TcSe.

The structure in CIF format:
```
data_KBa2TcSe
_cell_length_a 6.1725
_cell_length_b 6.1725
_cell_length_c 5.8651
_cell_angle_alpha 90.00
_cell_angle_beta 90.00
_cell_angle_gamma 90.00
_space_group_name_H-M_alt 'P 4/m m m'
_space_group_IT_number 123
_space_group_name_Hall '-P 4 2'
loop_
_atom_site_label
_atom_site_type_symbol
_atom_site_fract_x
_atom_site_fract_y
_atom_site_fract_z
K1 K 0.0000 0.0000 0.0000
Ba1 Ba 0.0000 0.5000 0.5000
Tc1 Tc 0.5000 0.5000 0.0000
Se1 Se 0.0000 0.0000 0.5000
```

- Formation energy from raw total energies: 0.39 eV per atom